No. 1
TiSiNi3: optimized geometry, PBE.

```
data_TiSiNi3
_chemical_formula_sum 'Ti1 Si1 Ni3'
_symmetry_space_group_name_H-M 'P m -3 m'
_symmetry_Int_Tables_number 221
_symmetry_space_group_name_Hall '-P 4 2 3'
_cell_length_a 4.165
_cell_length_b 4.165
_cell_length_c 4.165
_cell_angle_alpha 90.00
_cell_angle_beta 90.00
_cell_angle_gamma 90.00
loop_
_atom_site_label
_atom_site_fract_x
_atom_site_fract_y
_atom_site_fract_z
_atom_site_occupancy
Ti1 0.000 0.000 0.000 1
Si1 0.500 0.500 0.500 1
Ni1 0.000 0.500 0.500 1
```

## Properties
Raw formation energy = 0.174 eV/atom

=====

No. 2
Er5CdCo4: optimized geometry, PBE.

```
data_Er5CdCo4
_chemical_formula_sum 'Er5 Cd1 Co4'
_symmetry_space_group_name_H-M 'P 4/m m m'
_symmetry_Int_Tables_number 123
_symmetry_space_group_name_Hall '-P 4 2'
_cell_length_a 3.329
_cell_length_b 3.329
_cell_length_c 17.662
_cell_angle_alpha 90.00
_cell_angle_beta 90.00
_cell_angle_gamma 90.00
loop_
_atom_site_label
_atom_site_fract_x
_atom_site_fract_y
_atom_site_fract_z
_atom_site_occupancy
Er1 0.000 0.000 0.000 1
Er2 0.000 0.000 0.186 1
Er3 0.000 0.000 0.372 1
Cd1 0.500 0.500 0.500 1
Co1 0.500 0.500 0.094 1
Co2 0.500 0.500 0.283 1
```

## Properties
ΔH_f (0 K) = -0.23 eV per atom

=====

No. 3
LiOsAu: optimized geometry, PBE.

```
data_LiOsAu
_chemical_formula_sum 'Li1 Os1 Au1'
_symmetry_space_group_name_H-M 'P 3 m 1'
_symmetry_Int_Tables_number 156
_cell_length_a 2.7178
_cell_length_b 2.7178
_cell_length_c 7.1481
_cell_angle_alpha 90.00
_cell_angle_beta 90.00
_cell_angle_gamma 120.00
loop_
_symmetry_equiv_pos_as_xyz
'x,y,z'
'-y,x-y,z'
'-x+y,-x,z'
'-y,-x,z'
'-x+y,y,z'
'x,x-y,z'
loop_
_atom_site_label
_atom_site_fract_x
_atom_site_fract_y
_atom_site_fract_z
_atom_site_occupancy
Li1 0.0000 0.0000 0.0000 1
Os1 0.6667 0.3333 0.3134 1
Au1 0.3333 0.6667 0.6811 1
```

## Properties
ΔH_f (0 K) = 0.21 eV per atom

=====

No. 4
CeTl3Cd2S6: optimized geometry, PBE.

```
data_CeTl3Cd2S6
_chemical_formula_sum 'Ce2 Tl6 Cd4 S12'
_symmetry_space_group_name_H-M 'C 1 2/m 1'
_symmetry_Int_Tables_number 12
_cell_length_a 6.936
_cell_length_b 12.029
_cell_length_c 7.567
_cell_angle_alpha 90.00
_cell_angle_beta 107.95
_cell_angle_gamma 90.00
loop_
_symmetry_equiv_pos_as_xyz
'x,y,z'
'-x,-y,-z'
'-x,y,-z'
'x,-y,z'
'x+1/2,y+1/2,z'
'-x+1/2,-y+1/2,-z'
'-x+1/2,y+1/2,-z'
'x+1/2,-y+1/2,z'
loop_
_atom_site_label
_atom_site_fract_x
_atom_site_fract_y
_atom_site_fract_z
_atom_site_occupancy
Ce1 0.000 0.000 0.000 1
Tl1 0.000 0.166 0.500 1
Tl2 0.000 0.500 0.500 1
Cd1 0.000 0.334 0.000 1
S1 0.237 0.166 0.211 1
S2 0.238 0.500 0.211 1
```

## Properties
Raw formation energy = -0.715 eV/atom

=====

No. 5
Li3Er3PaSe8: optimized geometry, PBE.

```
data_Li3Er3PaSe8
_chemical_formula_sum 'Li9 Er9 Pa3 Se24'
_symmetry_space_group_name_H-M 'R -3 m'
_symmetry_Int_Tables_number 166
_symmetry_space_group_name_Hall '-R 3 2"'
_cell_length_a 8.1373
_cell_length_b 8.1373
_cell_length_c 19.4880
_cell_angle_alpha 90.00
_cell_angle_beta 90.00
_cell_angle_gamma 120.00
loop_
_atom_site_label
_atom_site_fract_x
_atom_site_fract_y
_atom_site_fract_z
_atom_site_occupancy
Li1 0.0000 0.5000 0.0000 1
Er1 0.0000 0.5000 0.5000 1
Pa1 0.0000 0.0000 0.5000 1
Se1 0.0000 0.0000 0.2503 1
Se2 0.9998 0.4999 0.2496 1
```

## Properties
Raw formation energy = -1.607 eV/atom

=====

No. 6
AcPdI: optimized geometry, PBE.

```
data_AcPdI
_chemical_formula_sum 'Ac4 Pd4 I4'
_symmetry_space_group_name_H-M 'C 1 2/m 1'
_symmetry_Int_Tables_number 12
_cell_length_a 11.773
_cell_length_b 4.236
_cell_length_c 9.071
_cell_angle_alpha 90.00
_cell_angle_beta 124.16
_cell_angle_gamma 90.00
loop_
_symmetry_equiv_pos_as_xyz
'x,y,z'
'-x,-y,-z'
'-x,y,-z'
'x,-y,z'
'x+1/2,y+1/2,z'
'-x+1/2,-y+1/2,-z'
'-x+1/2,y+1/2,-z'
'x+1/2,-y+1/2,z'
loop_
_atom_site_label
_atom_site_fract_x
_atom_site_fract_y
_atom_site_fract_z
_atom_site_occupancy
Ac1 0.052 0.000 0.309 1
Pd1 0.139 0.500 0.587 1
I1 0.185 0.500 0.116 1
```

## Properties
Raw formation energy = -0.896 eV/atom

=====

Number 1: total magnetic moment 0.0000 μB per atom, calculated volume 72 Å³ per cell. Number 2: total magnetic moment 0.1581 μB per atom, calculated volume 196 Å³ per cell. Number 3: total magnetic moment 0.0000 μB per atom, calculated volume 46 Å³ per cell. Number 4: total magnetic moment 0.0000 μB per atom, calculated volume 601 Å³ per cell. Number 5: total magnetic moment 0.0652 μB per atom, calculated volume 1117 Å³ per cell. Number 6: total magnetic moment 0.0000 μB per atom, calculated volume 374 Å³ per cell.